# AcPb2Au3 (PBE, relaxed)
# Density of states at the Fermi level, states/eV/cell: 7.43
# Formation energy, eV/f.u.: -2.044
# M_tot, μB per formula unit: 0.0
data_AcPb2Au3
_space_group_name_H-M_alt 'P m m n'
_space_group_IT_number 59
_cell_length_a 5.079
_cell_length_b 15.453
_cell_length_c 4.053
_cell_angle_alpha 90.00
_cell_angle_beta 90.00
_cell_angle_gamma 90.00
loop_
_space_group_symop_operation_xyz
'x,y,z'
'-x,-y,-z'
'-x+1/2,-y+1/2,z'
'x+1/2,y+1/2,-z'
'x+1/2,-y,-z'
'-x+1/2,y,z'
'-x,y+1/2,-z'
'x,-y+1/2,z'
loop_
_atom_site_label
_atom_site_type_symbol
_atom_site_fract_x
_atom_site_fract_y
_atom_site_fract_z
Ac1 Ac 0.250 0.250 0.014
Pb1 Pb 0.250 0.577 0.054
Au1 Au 0.250 0.085 0.500
Au2 Au 0.250 0.750 0.497

---

# Ac5Pb5Au2 (PBE, relaxed)
# Density of states at the Fermi level, states/eV/cell: 11.06
# Formation energy, eV/f.u.: -7.079
# M_tot, μB per formula unit: 0.0
data_Ac5Pb5Au2
_space_group_name_H-M_alt 'C 1 2/m 1'
_space_group_IT_number 12
_cell_length_a 17.567
_cell_length_b 4.884
_cell_length_c 12.378
_cell_angle_alpha 90.00
_cell_angle_beta 129.93
_cell_angle_gamma 90.00
loop_
_space_group_symop_operation_xyz
'x,y,z'
'-x,-y,-z'
'-x,y,-z'
'x,-y,z'
'x+1/2,y+1/2,z'
'-x+1/2,-y+1/2,-z'
'-x+1/2,y+1/2,-z'
'x+1/2,-y+1/2,z'
loop_
_atom_site_label
_atom_site_type_symbol
_atom_site_fract_x
_atom_site_fract_y
_atom_site_fract_z
Ac1 Ac 0.000 0.000 0.000
Ac2 Ac 0.110 0.000 0.411
Ac3 Ac 0.199 0.000 0.824
Pb1 Pb 0.000 0.500 0.500
Pb2 Pb 0.066 0.500 0.847
Pb3 Pb 0.241 0.500 0.677
Au1 Au 0.137 0.500 0.240

---

# Ac2Pb2Au15 (PBE, relaxed)
# Density of states at the Fermi level, states/eV/cell: 22.11
# Formation energy, eV/f.u.: -5.841
# M_tot, μB per formula unit: 0.0
data_Ac2Pb2Au15
_space_group_name_H-M_alt 'R -3 m'
_space_group_IT_number 166
_space_group_name_Hall '-R 3 2"'
_cell_length_a 9.9005
_cell_length_b 9.9005
_cell_length_c 14.5965
_cell_angle_alpha 90.00
_cell_angle_beta 90.00
_cell_angle_gamma 120.00
loop_
_atom_site_label
_atom_site_type_symbol
_atom_site_fract_x
_atom_site_fract_y
_atom_site_fract_z
Ac1 Ac 0.0000 0.0000 0.1529
Pb1 Pb 0.0000 0.0000 0.3992
Au1 Au 0.0000 0.3120 0.5000
Au2 Au 0.0000 0.5000 0.0000
Au3 Au 0.0156 0.5078 0.6489

---

# AcPb3Au8 (PBE, relaxed)
# Density of states at the Fermi level, states/eV/cell: 5.07
# Formation energy, eV/f.u.: -3.212
# M_tot, μB per formula unit: 0.0
data_AcPb3Au8
_space_group_name_H-M_alt 'R 3 m'
_space_group_IT_number 160
_space_group_name_Hall 'R 3 -2"'
_cell_length_a 5.7828
_cell_length_b 5.7828
_cell_length_c 28.2296
_cell_angle_alpha 90.00
_cell_angle_beta 90.00
_cell_angle_gamma 120.00
loop_
_atom_site_label
_atom_site_type_symbol
_atom_site_fract_x
_atom_site_fract_y
_atom_site_fract_z
Ac1 Ac 0.0000 0.0000 0.0000
Pb1 Pb 0.0000 0.0000 0.1279
Pb2 Pb 0.0000 0.0000 0.4950
Pb3 Pb 0.0000 0.0000 0.6167
Au1 Au 0.0000 0.0000 0.3108
Au2 Au 0.0000 0.0000 0.8108
Au3 Au 0.9995 0.4998 0.0613
Au4 Au 0.0001 0.5001 0.5608

---

# Ac6PbAu5 (PBE, relaxed)
# Density of states at the Fermi level, states/eV/cell: 14.81
# Formation energy, eV/f.u.: -8.618
# M_tot, μB per formula unit: 0.0
data_Ac6PbAu5
_space_group_name_H-M_alt 'I m m m'
_space_group_IT_number 71
_space_group_name_Hall '-I 2 2'
_cell_length_a 5.563
_cell_length_b 7.949
_cell_length_c 16.748
_cell_angle_alpha 90.00
_cell_angle_beta 90.00
_cell_angle_gamma 90.00
loop_
_atom_site_label
_atom_site_type_symbol
_atom_site_fract_x
_atom_site_fract_y
_atom_site_fract_z
Ac1 Ac 0.000 0.237 0.000
Ac2 Ac 0.000 0.256 0.329
Pb1 Pb 0.000 0.000 0.500
Au1 Au 0.000 0.000 0.168
Au2 Au 0.000 0.500 0.162
Au3 Au 0.000 0.500 0.500

---

# Ac3Pb2Au4 (PBE, relaxed)
# Density of states at the Fermi level, states/eV/cell: 4.31
# Formation energy, eV/f.u.: -6.327
# M_tot, μB per formula unit: 0.0
data_Ac3Pb2Au4
_space_group_name_H-M_alt 'C 1 2/m 1'
_space_group_IT_number 12
_cell_length_a 11.934
_cell_length_b 4.882
_cell_length_c 9.599
_cell_angle_alpha 90.00
_cell_angle_beta 113.14
_cell_angle_gamma 90.00
loop_
_space_group_symop_operation_xyz
'x,y,z'
'-x,-y,-z'
'-x,y,-z'
'x,-y,z'
'x+1/2,y+1/2,z'
'-x+1/2,-y+1/2,-z'
'-x+1/2,y+1/2,-z'
'x+1/2,-y+1/2,z'
loop_
_atom_site_label
_atom_site_type_symbol
_atom_site_fract_x
_atom_site_fract_y
_atom_site_fract_z
Ac1 Ac 0.000 0.000 0.000
Ac2 Ac 0.146 0.500 0.685
Pb1 Pb 0.142 0.500 0.303
Au1 Au 0.077 0.000 0.418
Au2 Au 0.218 0.500 0.049

---

# Ac3Pb2Au (PBE, relaxed)
# Density of states at the Fermi level, states/eV/cell: 20.34
# Formation energy, eV/f.u.: -2.980
# M_tot, μB per formula unit: 0.0
data_Ac3Pb2Au
_space_group_name_H-M_alt 'C 1 2/c 1'
_space_group_IT_number 15
_cell_length_a 16.481
_cell_length_b 6.880
_cell_length_c 7.768
_cell_angle_alpha 90.00
_cell_angle_beta 104.01
_cell_angle_gamma 90.00
loop_
_space_group_symop_operation_xyz
'x,y,z'
'-x,-y,-z'
'-x,y,-z+1/2'
'x,-y,z+1/2'
'x+1/2,y+1/2,z'
'-x+1/2,-y+1/2,-z'
'-x+1/2,y+1/2,-z+1/2'
'x+1/2,-y+1/2,z+1/2'
loop_
_atom_site_label
_atom_site_type_symbol
_atom_site_fract_x
_atom_site_fract_y
_atom_site_fract_z
Ac1 Ac 0.000 0.088 0.250
Ac2 Ac 0.157 0.408 0.590
Pb1 Pb 0.171 0.103 0.057
Au1 Au 0.000 0.412 0.750

---

# Ac7Pb2Au2 (PBE, relaxed)
# Density of states at the Fermi level, states/eV/cell: 25.21
# Formation energy, eV/f.u.: -3.525
# M_tot, μB per formula unit: 0.0
data_Ac7Pb2Au2
_space_group_name_H-M_alt 'C m m m'
_space_group_IT_number 65
_space_group_name_Hall '-C 2 2'
_cell_length_a 9.048
_cell_length_b 12.359
_cell_length_c 7.759
_cell_angle_alpha 90.00
_cell_angle_beta 90.00
_cell_angle_gamma 90.00
loop_
_atom_site_label
_atom_site_type_symbol
_atom_site_fract_x
_atom_site_fract_y
_atom_site_fract_z
Ac1 Ac 0.000 0.000 0.000
Ac2 Ac 0.000 0.500 0.239
Ac3 Ac 0.250 0.250 0.267
Pb1 Pb 0.175 0.000 0.500
Au1 Au 0.000 0.281 0.000

---

# AcPb2Au (PBE, relaxed)
# Density of states at the Fermi level, states/eV/cell: 12.81
# Formation energy, eV/f.u.: -1.789
# M_tot, μB per formula unit: 0.0
data_AcPb2Au
_space_group_name_H-M_alt 'C m c m'
_space_group_IT_number 63
_space_group_name_Hall '-C 2c 2'
_cell_length_a 4.696
_cell_length_b 18.813
_cell_length_c 11.074
_cell_angle_alpha 90.00
_cell_angle_beta 90.00
_cell_angle_gamma 90.00
loop_
_atom_site_label
_atom_site_type_symbol
_atom_site_fract_x
_atom_site_fract_y
_atom_site_fract_z
Ac1 Ac 0.000 0.000 0.000
Ac2 Ac 0.000 0.182 0.250
Pb1 Pb 0.000 0.202 0.585
Pb2 Pb 0.000 0.378 0.250
Pb3 Pb 0.000 0.460 0.750
Au1 Au 0.000 0.368 0.537

---

# Ac3Pb2Au7 (PBE, relaxed)
# Density of states at the Fermi level, states/eV/cell: 6.39
# Formation energy, eV/f.u.: -6.376
# M_tot, μB per formula unit: 0.0
data_Ac3Pb2Au7
_space_group_name_H-M_alt 'P 1 2/m 1'
_space_group_IT_number 10
_cell_length_a 5.308
_cell_length_b 4.369
_cell_length_c 14.236
_cell_angle_alpha 90.00
_cell_angle_beta 100.30
_cell_angle_gamma 90.00
loop_
_space_group_symop_operation_xyz
'x,y,z'
'-x,-y,-z'
'-x,y,-z'
'x,-y,z'
loop_
_atom_site_label
_atom_site_type_symbol
_atom_site_fract_x
_atom_site_fract_y
_atom_site_fract_z
Ac1 Ac 0.000 0.000 0.000
Ac2 Ac 0.333 0.500 0.640
Pb1 Pb 0.097 0.000 0.265
Au1 Au 0.237 0.000 0.471
Au2 Au 0.252 0.500 0.159
Au3 Au 0.406 0.000 0.846
Au4 Au 0.500 0.500 0.000

---

# Ac12Pb5Au2 (PBE, relaxed)
# Density of states at the Fermi level, states/eV/cell: 45.46
# Formation energy, eV/f.u.: -6.470
# M_tot, μB per formula unit: 0.0
data_Ac12Pb5Au2
_space_group_name_H-M_alt 'C 1 2/m 1'
_space_group_IT_number 12
_cell_length_a 19.145
_cell_length_b 8.294
_cell_length_c 10.497
_cell_angle_alpha 90.00
_cell_angle_beta 103.47
_cell_angle_gamma 90.00
loop_
_space_group_symop_operation_xyz
'x,y,z'
'-x,-y,-z'
'-x,y,-z'
'x,-y,z'
'x+1/2,y+1/2,z'
'-x+1/2,-y+1/2,-z'
'-x+1/2,y+1/2,-z'
'x+1/2,-y+1/2,z'
loop_
_atom_site_label
_atom_site_type_symbol
_atom_site_fract_x
_atom_site_fract_y
_atom_site_fract_z
Ac1 Ac 0.007 0.000 0.279
Ac2 Ac 0.009 0.500 0.826
Ac3 Ac 0.148 0.256 0.575
Ac4 Ac 0.163 0.249 0.092
Pb1 Pb 0.000 0.500 0.500
Pb2 Pb 0.184 0.000 0.836
Pb3 Pb 0.200 0.000 0.362
Au1 Au 0.000 0.176 0.000

---

# Ac3Pb3Au2 (PBE, relaxed)
# Density of states at the Fermi level, states/eV/cell: 24.01
# Formation energy, eV/f.u.: -4.758
# M_tot, μB per formula unit: 0.0
data_Ac3Pb3Au2
_space_group_name_H-M_alt 'C m c m'
_space_group_IT_number 63
_space_group_name_Hall '-C 2c 2'
_cell_length_a 4.933
_cell_length_b 12.038
_cell_length_c 16.831
_cell_angle_alpha 90.00
_cell_angle_beta 90.00
_cell_angle_gamma 90.00
loop_
_atom_site_label
_atom_site_type_symbol
_atom_site_fract_x
_atom_site_fract_y
_atom_site_fract_z
Ac1 Ac 0.000 0.085 0.109
Ac2 Ac 0.000 0.357 0.250
Pb1 Pb 0.000 0.358 0.750
Pb2 Pb 0.000 0.372 0.036
Au1 Au 0.000 0.202 0.612

---

# Ac2PbAu (PBE, relaxed)
# Density of states at the Fermi level, states/eV/cell: 7.80
# Formation energy, eV/f.u.: -2.573
# M_tot, μB per formula unit: 0.0
data_Ac2PbAu
_space_group_name_H-M_alt 'P 1 21/m 1'
_space_group_IT_number 11
_cell_length_a 6.721
_cell_length_b 4.856
_cell_length_c 9.079
_cell_angle_alpha 90.00
_cell_angle_beta 111.33
_cell_angle_gamma 90.00
loop_
_space_group_symop_operation_xyz
'x,y,z'
'-x,-y,-z'
'-x,y+1/2,-z'
'x,-y+1/2,z'
loop_
_atom_site_label
_atom_site_type_symbol
_atom_site_fract_x
_atom_site_fract_y
_atom_site_fract_z
Ac1 Ac 0.183 0.250 0.417
Ac2 Ac 0.274 0.750 0.058
Pb1 Pb 0.385 0.750 0.706
Au1 Au 0.121 0.250 0.795

---

# Ac4PbAu3 (PBE, relaxed)
# Density of states at the Fermi level, states/eV/cell: 6.52
# Formation energy, eV/f.u.: -5.687
# M_tot, μB per formula unit: 0.0
data_Ac4PbAu3
_space_group_name_H-M_alt 'P m m 2'
_space_group_IT_number 25
_cell_length_a 4.351
_cell_length_b 4.976
_cell_length_c 12.070
_cell_angle_alpha 90.00
_cell_angle_beta 90.00
_cell_angle_gamma 90.00
loop_
_space_group_symop_operation_xyz
'x,y,z'
'-x,-y,z'
'-x,y,z'
'x,-y,z'
loop_
_atom_site_label
_atom_site_type_symbol
_atom_site_fract_x
_atom_site_fract_y
_atom_site_fract_z
Ac1 Ac 0.000 0.000 0.000
Ac2 Ac 0.000 0.500 0.260
Ac3 Ac 0.500 0.000 0.481
Ac4 Ac 0.500 0.500 0.772
Pb1 Pb 0.000 0.000 0.710
Au1 Au 0.000 0.500 0.530
Au2 Au 0.500 0.000 0.212
Au3 Au 0.500 0.500 0.045

---

# AcPb2Au (PBE, relaxed)
# Density of states at the Fermi level, states/eV/cell: 3.72
# Formation energy, eV/f.u.: -0.722
# M_tot, μB per formula unit: 0.0
data_AcPb2Au
_space_group_name_H-M_alt 'P 4/m m m'
_space_group_IT_number 123
_space_group_name_Hall '-P 4 2'
_cell_length_a 3.891
_cell_length_b 3.891
_cell_length_c 7.802
_cell_angle_alpha 90.00
_cell_angle_beta 90.00
_cell_angle_gamma 90.00
loop_
_atom_site_label
_atom_site_type_symbol
_atom_site_fract_x
_atom_site_fract_y
_atom_site_fract_z
Ac1 Ac 0.000 0.000 0.000
Pb1 Pb 0.500 0.500 0.299
Au1 Au 0.000 0.000 0.500

---

# Ac3Pb2Au2 (PBE, relaxed)
# Density of states at the Fermi level, states/eV/cell: 9.33
# Formation energy, eV/f.u.: -4.733
# M_tot, μB per formula unit: 0.0
data_Ac3Pb2Au2
_space_group_name_H-M_alt 'C 1 2/m 1'
_space_group_IT_number 12
_cell_length_a 12.355
_cell_length_b 4.701
_cell_length_c 8.435
_cell_angle_alpha 90.00
_cell_angle_beta 109.48
_cell_angle_gamma 90.00
loop_
_space_group_symop_operation_xyz
'x,y,z'
'-x,-y,-z'
'-x,y,-z'
'x,-y,z'
'x+1/2,y+1/2,z'
'-x+1/2,-y+1/2,-z'
'-x+1/2,y+1/2,-z'
'x+1/2,-y+1/2,z'
loop_
_atom_site_label
_atom_site_type_symbol
_atom_site_fract_x
_atom_site_fract_y
_atom_site_fract_z
Ac1 Ac 0.000 0.000 0.000
Ac2 Ac 0.174 0.000 0.666
Pb1 Pb 0.054 0.500 0.346
Au1 Au 0.178 0.500 0.940

---

# Ac6Pb3Au (PBE, relaxed)
# Density of states at the Fermi level, states/eV/cell: 44.91
# Formation energy, eV/f.u.: -3.664
# M_tot, μB per formula unit: 0.0
data_Ac6Pb3Au
_space_group_name_H-M_alt 'C m c 21'
_space_group_IT_number 36
_cell_length_a 12.089
_cell_length_b 15.968
_cell_length_c 8.063
_cell_angle_alpha 90.00
_cell_angle_beta 90.00
_cell_angle_gamma 90.00
loop_
_space_group_symop_operation_xyz
'x,y,z'
'-x,-y,z+1/2'
'-x,y,z'
'x,-y,z+1/2'
'x+1/2,y+1/2,z'
'-x+1/2,-y+1/2,z+1/2'
'-x+1/2,y+1/2,z'
'x+1/2,-y+1/2,z+1/2'
loop_
_atom_site_label
_atom_site_type_symbol
_atom_site_fract_x
_atom_site_fract_y
_atom_site_fract_z
Ac1 Ac 0.000 0.039 0.000
Ac2 Ac 0.000 0.289 0.023
Ac3 Ac 0.172 0.297 0.564
Ac4 Ac 0.227 0.448 0.194
Pb1 Pb 0.000 0.474 0.466
Pb2 Pb 0.140 0.129 0.328
Au1 Au 0.000 0.159 0.704

---

# Ac2Pb2Au (PBE, relaxed)
# Density of states at the Fermi level, states/eV/cell: 16.20
# Formation energy, eV/f.u.: -2.917
# M_tot, μB per formula unit: 0.0
data_Ac2Pb2Au
_space_group_name_H-M_alt 'C 1 2/m 1'
_space_group_IT_number 12
_cell_length_a 12.203
_cell_length_b 4.897
_cell_length_c 12.244
_cell_angle_alpha 90.00
_cell_angle_beta 117.32
_cell_angle_gamma 90.00
loop_
_space_group_symop_operation_xyz
'x,y,z'
'-x,-y,-z'
'-x,y,-z'
'x,-y,z'
'x+1/2,y+1/2,z'
'-x+1/2,-y+1/2,-z'
'-x+1/2,y+1/2,-z'
'x+1/2,-y+1/2,z'
loop_
_atom_site_label
_atom_site_type_symbol
_atom_site_fract_x
_atom_site_fract_y
_atom_site_fract_z
Ac1 Ac 0.003 0.000 0.329
Ac2 Ac 0.184 0.000 0.119
Pb1 Pb 0.039 0.500 0.888
Pb2 Pb 0.154 0.500 0.550
Au1 Au 0.216 0.500 0.323

---

# Ac4Pb5Au2 (PBE, relaxed)
# Density of states at the Fermi level, states/eV/cell: 7.51
# Formation energy, eV/f.u.: -6.203
# M_tot, μB per formula unit: 0.0
data_Ac4Pb5Au2
_space_group_name_H-M_alt 'P 1 2/m 1'
_space_group_IT_number 10
_cell_length_a 8.122
_cell_length_b 4.618
_cell_length_c 9.703
_cell_angle_alpha 90.00
_cell_angle_beta 91.49
_cell_angle_gamma 90.00
loop_
_space_group_symop_operation_xyz
'x,y,z'
'-x,-y,-z'
'-x,y,-z'
'x,-y,z'
loop_
_atom_site_label
_atom_site_type_symbol
_atom_site_fract_x
_atom_site_fract_y
_atom_site_fract_z
Ac1 Ac 0.216 0.000 0.359
Ac2 Ac 0.233 0.000 0.904
Pb1 Pb 0.129 0.500 0.628
Pb2 Pb 0.449 0.500 0.161
Pb3 Pb 0.500 0.500 0.500
Au1 Au 0.085 0.500 0.127

---

# Ac3PbAu2 (PBE, relaxed)
# Density of states at the Fermi level, states/eV/cell: 4.85
# Formation energy, eV/f.u.: -3.992
# M_tot, μB per formula unit: 0.0
data_Ac3PbAu2
_space_group_name_H-M_alt 'P 4/m m m'
_space_group_IT_number 123
_space_group_name_Hall '-P 4 2'
_cell_length_a 3.849
_cell_length_b 3.849
_cell_length_c 12.874
_cell_angle_alpha 90.00
_cell_angle_beta 90.00
_cell_angle_gamma 90.00
loop_
_atom_site_label
_atom_site_type_symbol
_atom_site_fract_x
_atom_site_fract_y
_atom_site_fract_z
Ac1 Ac 0.000 0.000 0.000
Ac2 Ac 0.000 0.000 0.309
Pb1 Pb 0.500 0.500 0.500
Au1 Au 0.500 0.500 0.155

---

# AcPb2Au (PBE, relaxed)
# Density of states at the Fermi level, states/eV/cell: 9.42
# Formation energy, eV/f.u.: 0.248
# M_tot, μB per formula unit: 0.0
data_AcPb2Au
_space_group_name_H-M_alt 'R -3 m'
_space_group_IT_number 166
_space_group_name_Hall '-R 3 2"'
_cell_length_a 3.7747
_cell_length_b 3.7747
_cell_length_c 32.5598
_cell_angle_alpha 90.00
_cell_angle_beta 90.00
_cell_angle_gamma 120.00
loop_
_atom_site_label
_atom_site_type_symbol
_atom_site_fract_x
_atom_site_fract_y
_atom_site_fract_z
Ac1 Ac 0.0000 0.0000 0.0000
Pb1 Pb 0.0000 0.0000 0.1051
Au1 Au 0.0000 0.0000 0.5000